Entry 1:
SCAN AgHgPb, PBEsol geometry; formation energy from the elements = 0.0902 eV/atom
1.0
-1.6569 1.6569 6.1911
1.6569 -1.6569 6.1911
1.6569 1.6569 -6.1911
Ag Hg Pb
1 1 1
direct
0.0000 0.0000 0.0000
0.6413 0.6413 0.0000
0.3356 0.3356 0.0000

=====

Entry 2:
SCAN AgHg2Pb, PBEsol geometry; formation energy from the elements = 0.0903 eV/atom
1.0
1.7050 0.9844 9.1744
-1.7050 0.9844 9.1744
0.0000 -1.9688 9.1744
Ag Hg Pb
1 2 1
direct
0.0000 0.0000 0.0000
0.4908 0.4908 0.4908
0.7415 0.7415 0.7415
0.2516 0.2516 0.2516

=====

Entry 3:
SCAN AgHgPb2, PBEsol geometry; formation energy from the elements = 0.0657 eV/atom
1.0
3.4411 0.0000 0.0000
0.0000 3.4411 0.0000
0.0000 0.0000 8.2163
Ag Hg Pb
1 1 2
direct
0.0000 0.0000 0.0000
0.5000 0.5000 0.1917
0.0000 0.0000 0.4516
0.5000 0.5000 0.7704

=====

Entry 4:
SCAN AgHg2Pb, PBEsol geometry; formation energy from the elements = 0.0733 eV/atom
1.0
-1.6005 2.3524 6.3320
1.6005 -2.3524 6.3320
1.6005 2.3524 -6.3320
Ag Hg Pb
1 2 1
direct
0.0000 0.0000 0.0000
0.1896 0.6896 0.5000
0.5081 0.5081 0.0000
0.7979 0.2979 0.5000

=====

Entry 5:
SCAN AgHg2Pb, PBEsol geometry; formation energy from the elements = 0.0837 eV/atom
1.0
-1.5749 2.7211 5.3201
1.5749 -2.7211 5.3201
1.5749 2.7211 -5.3201
Ag Hg Pb
1 2 1
direct
0.0000 0.0000 0.0000
0.2266 0.7266 0.5000
0.7734 0.2734 0.5000
0.5000 0.5000 0.0000

=====

Entry 6:
SCAN AgHg2Pb, PBEsol geometry; formation energy from the elements = 0.0851 eV/atom
1.0
3.3661 0.0000 0.0000
0.0000 3.3661 0.0000
0.0000 0.0000 8.0332
Ag Hg Pb
1 2 1
direct
0.0000 0.0000 0.0000
0.0000 0.0000 0.4626
0.5000 0.5000 0.2132
0.5000 0.5000 0.7551

=====

Entry 7:
SCAN AgHgPb2, PBEsol geometry; formation energy from the elements = 0.1132 eV/atom
1.0
3.4069 0.0000 0.0000
0.0000 4.0910 0.0000
0.0000 0.0000 6.9728
Ag Hg Pb
1 1 2
direct
0.0000 0.0000 0.0000
0.0000 0.0000 0.5000
0.5000 0.5000 0.2372
0.5000 0.5000 0.7628

=====

Entry 8:
SCAN AgHg2Pb, PBEsol geometry; formation energy from the elements = 0.0763 eV/atom
1.0
3.3189 0.0000 0.0000
0.0000 3.3189 0.0000
0.0000 0.0000 8.1570
Ag Hg Pb
1 2 1
direct
0.0000 0.0000 0.0000
0.5000 0.5000 0.2135
0.5000 0.5000 0.7865
0.0000 0.0000 0.5000

=====

Entry 9:
SCAN AgHgPb2, PBEsol geometry; formation energy from the elements = 0.0963 eV/atom
1.0
5.7540 -1.6738 0.0000
5.7540 1.6738 0.0000
-2.0726 0.0000 5.0606
Ag Hg Pb
1 1 2
direct
0.0000 0.0000 0.0000
0.2904 0.2904 0.6996
0.5256 0.5256 0.5020
0.7404 0.7404 0.1595

=====

Entry 10:
SCAN AgHgPb, PBEsol geometry; formation energy from the elements = 0.0989 eV/atom
1.0
0.0000 3.3323 3.3323
3.3323 0.0000 3.3323
3.3323 3.3323 0.0000
Ag Hg Pb
1 1 1
direct
0.0000 0.0000 0.0000
0.2500 0.2500 0.2500
0.7500 0.7500 0.7500

=====

Entry 11:
SCAN Ag2HgPb, PBEsol geometry; formation energy from the elements = 0.1060 eV/atom
1.0
5.4775 -1.5386 0.0000
5.4775 1.5386 0.0000
-1.6240 0.0000 4.9465
Ag Hg Pb
2 1 1
direct
0.0000 0.0000 0.0000
0.7042 0.7042 0.3354
0.2470 0.2470 0.8616
0.4571 0.4571 0.4801

=====

Entry 12:
SCAN AgHgPb3, PBEsol geometry; formation energy from the elements = 0.3654 eV/atom
1.0
5.4008 0.0000 0.0000
0.0000 5.4008 0.0000
0.0000 0.0000 5.4008
Ag Hg Pb
1 1 3
direct
0.0000 0.0000 0.0000
0.5000 0.5000 0.5000
0.0000 0.0000 0.5000
0.0000 0.5000 0.0000
0.5000 0.0000 0.0000

=====

| no. | E (eV/f.u.) |
| --- | --- |
| 1 | -175.044 |
| 2 | -243.119 |
| 3 | -250.832 |
| 4 | -243.187 |
| 5 | -243.145 |
| 6 | -243.139 |
| 7 | -250.643 |
| 8 | -243.175 |
| 9 | -250.710 |
| 10 | -175.017 |
| 11 | -206.257 |
| 12 | -325.049 |